1.
{
  "formula": "Ag12Pd3Au",
  "functional": "PBE",
  "state": "optimized geometry",
  "spacegroup": "P4/mmm, No. 123",
  "delta_e_f_ev_per_fu": -0.525,
  "dft_energy_ev_per_cell": -53.60,
  "lattice": [[4.1199, 0.0000, 0.0000], [0.0000, 4.1199, 0.0000], [0.0000, 0.0000, 16.3638]],
  "species": ["Ag", "Ag", "Ag", "Ag", "Ag", "Ag", "Ag", "Ag", "Ag", "Ag", "Ag", "Ag", "Pd", "Pd", "Pd", "Au"],
  "fractional_positions": [[0.0000, 0.0000, 0.0000], [0.0000, 0.0000, 0.2474], [0.0000, 0.0000, 0.5000], [0.0000, 0.0000, 0.7526], [0.0000, 0.5000, 0.1238], [0.0000, 0.5000, 0.3718], [0.0000, 0.5000, 0.6282], [0.0000, 0.5000, 0.8762], [0.5000, 0.0000, 0.1238], [0.5000, 0.0000, 0.3718], [0.5000, 0.0000, 0.6282], [0.5000, 0.0000, 0.8762], [0.5000, 0.5000, 0.0000], [0.5000, 0.5000, 0.2482], [0.5000, 0.5000, 0.7518], [0.5000, 0.5000, 0.5000]]
}

=====

2.
{
  "formula": "NaSO2",
  "functional": "PBE",
  "state": "optimized geometry",
  "spacegroup": "R-3m, No. 166",
  "dft_energy_ev_per_cell": -18.56,
  "lattice": [[1.5765, 0.9102, 6.0043], [-1.5765, 0.9102, 6.0043], [0.0000, -1.8204, 6.0043]],
  "species": ["Na", "S", "O", "O"],
  "fractional_positions": [[0.0000, 0.0000, 0.0000], [0.5000, 0.5000, 0.5000], [0.4122, 0.4122, 0.4122], [0.5878, 0.5878, 0.5878]]
}